Run P
Sm3Ga2Pd3 after structural relaxation, computed with PBE.

POSCAR file:
```
Sm3Ga2Pd3
1.0
4.426 0.000 0.000
-2.213 5.391 0.000
0.000 0.000 14.568
Sm Ga Pd
6 4 6
Direct
0.918 0.836 0.395
0.082 0.164 0.895
0.918 0.836 0.105
0.082 0.164 0.605
0.633 0.266 0.250
0.367 0.734 0.750
0.787 0.573 0.904
0.213 0.427 0.404
0.787 0.573 0.596
0.213 0.427 0.096
0.617 0.234 0.457
0.383 0.766 0.957
0.617 0.234 0.043
0.383 0.766 0.543
0.341 0.681 0.250
0.659 0.319 0.750
```

---

Run Q
Sm3Ga2Pd3 after structural relaxation, computed with PBE.

POSCAR file:
```
Sm3Ga2Pd3
1.0
5.736 0.000 0.000
0.000 7.776 0.000
0.000 0.000 15.629
Sm Ga Pd
12 8 12
Direct
0.144 0.466 0.394
0.644 0.034 0.606
0.856 0.534 0.894
0.356 0.966 0.106
0.856 0.534 0.606
0.356 0.966 0.394
0.144 0.466 0.106
0.644 0.034 0.894
0.617 0.327 0.250
0.117 0.173 0.750
0.383 0.673 0.750
0.883 0.827 0.250
0.857 0.117 0.394
0.357 0.383 0.606
0.143 0.883 0.894
0.643 0.617 0.106
0.143 0.883 0.606
0.643 0.617 0.394
0.857 0.117 0.106
0.357 0.383 0.894
0.109 0.183 0.250
0.609 0.317 0.750
0.891 0.817 0.750
0.391 0.683 0.250
0.586 0.323 0.466
0.086 0.177 0.534
0.414 0.677 0.966
0.914 0.823 0.034
0.414 0.677 0.534
0.914 0.823 0.466
0.586 0.323 0.034
0.086 0.177 0.966
```

---

Stability, descending: run Q, run P

---

Run P
SmTmGaPd after structural relaxation, computed with PBE.

POSCAR file:
```
SmTmGaPd
1.0
-2.515 1.851 -2.102
2.193 -1.232 -3.709
-1.846 -5.501 0.736
Sm Tm Ga Pd
1 1 1 1
Direct
0.145 0.000 0.290
0.859 0.500 0.718
0.574 0.500 0.147
0.422 0.000 0.845
```

---

Run Q
SmTmGaPd after structural relaxation, computed with PBE.

POSCAR file:
```
SmTmGaPd
1.0
5.044 0.000 0.000
2.522 4.368 0.000
2.522 1.456 4.118
Ga Tm Pd Sm
1 1 1 1
Direct
0.250 0.250 0.250
0.000 0.000 0.000
0.750 0.750 0.750
0.500 0.500 0.500
```

---

Stability, descending: run P, run Q

---

Run P
GaSnPd2 after structural relaxation, computed with PBE.

POSCAR file:
```
GaSnPd2
1.0
-1.918 -2.463 1.191
2.849 -0.543 3.463
-2.359 3.004 2.411
Ga Sn Pd
1 1 2
Direct
0.500 0.500 0.500
0.500 0.000 0.000
0.000 0.000 0.500
0.000 0.500 0.000
```

---

Run Q
GaSnPd2 after structural relaxation, computed with PBE.

POSCAR file:
```
GaSnPd2
1.0
-0.461 -3.077 3.357
-4.057 -1.985 0.745
-0.606 -4.422 -1.016
Ga Sn Pd
1 1 2
Direct
0.000 0.000 0.000
0.500 0.500 0.500
0.250 0.250 0.250
0.750 0.750 0.750
```

---

Stability, descending: run Q, run P

---

Run P
GaSnPd2 after structural relaxation, computed with PBE.

POSCAR file:
```
GaSnPd2
1.0
3.435 0.000 0.000
1.717 2.975 0.000
1.717 0.992 7.194
Ga Sn Pd
1 1 2
Direct
0.500 0.500 0.501
0.667 0.667 0.000
0.093 0.093 0.720
0.240 0.240 0.280
```

---

Run Q
GaSnPd2 after structural relaxation, computed with PBE.

POSCAR file:
```
GaSnPd2
1.0
5.444 0.253 0.145
0.386 5.693 0.312
0.388 3.113 4.775
Ga Sn Pd
2 2 4
Direct
0.269 0.076 0.826
0.768 0.243 0.661
0.606 0.045 0.267
0.929 0.638 0.858
0.124 0.156 0.366
0.014 0.705 0.312
0.411 0.537 0.748
0.521 0.590 0.201
```

---

Stability, descending: run P, run Q

---

Run P
GaSnPd2 after structural relaxation, computed with PBE.

POSCAR file:
```
GaSnPd2
1.0
-1.711 -0.481 -2.618
-0.168 -3.087 0.677
-5.720 1.088 3.540
Ga Sn Pd
1 1 2
Direct
0.500 0.500 0.000
0.500 0.500 0.500
0.000 0.000 0.786
0.000 0.000 0.214
```

---

Run Q
GaSnPd2 after structural relaxation, computed with PBE.

POSCAR file:
```
GaSnPd2
1.0
-1.214 -5.725 4.250
2.030 -4.410 -5.361
3.110 -4.952 0.372
Ga Sn Pd
2 2 4
Direct
0.500 0.500 0.000
0.250 0.750 0.500
0.000 0.000 0.000
0.750 0.250 0.500
0.589 0.125 0.250
0.161 0.625 0.250
0.375 0.411 0.750
0.875 0.839 0.750
```

---

Stability, descending: run P, run Q

---

Run P
Ga2SnPd4 after structural relaxation, computed with PBE.

POSCAR file:
```
Ga2SnPd4
1.0
-1.230 2.159 -1.740
-1.623 -6.498 -4.274
-8.957 -1.061 5.014
Ga Sn Pd
4 2 8
Direct
0.130 0.259 0.435
0.870 0.741 0.935
0.130 0.259 0.065
0.870 0.741 0.565
0.617 0.234 0.750
0.383 0.766 0.250
0.759 0.519 0.117
0.759 0.519 0.383
0.241 0.481 0.883
0.241 0.481 0.617
0.974 0.947 0.750
0.026 0.053 0.250
0.500 0.000 0.000
0.500 0.000 0.500
```

---

Run Q
Ga2SnPd4 after structural relaxation, computed with PBE.

POSCAR file:
```
Ga2SnPd4
1.0
4.934 0.000 0.000
0.000 4.934 0.000
2.467 2.467 6.364
Ga Sn Pd
2 1 4
Direct
0.394 0.394 0.212
0.606 0.606 0.788
0.000 0.000 0.000
0.206 0.206 0.588
0.794 0.794 0.412
0.000 0.500 0.000
0.500 0.000 0.000
```

---

Stability, descending: run P, run Q